A geometry-optimized AgPt4Au structure. Source: Alexandria, functional GGA-PBEsol. Values from VASP.

```
&SYSTEM
  ibrav = 0, nat = 6, ntyp = 3
/
ATOMIC_SPECIES
Ag 107.87 Ag.upf
Pt 195.08 Pt.upf
Au 196.97 Au.upf
CELL_PARAMETERS angstrom
0.0000 3.6786 3.6786
3.6786 0.0000 3.6786
3.6786 3.6786 0.0000
ATOMIC_POSITIONS angstrom
Ag 0.0000 0.0000 0.0000
Pt 2.7590 2.7590 2.7590
Pt 4.5981 4.5981 2.7590
Pt 4.5981 2.7590 4.5981
Pt 2.7590 4.5981 4.5981
Au 5.5179 5.5179 5.5179
```

Properties
theoretical density = 18100 kg/m³
M_tot = 0.000 μB per cell
space-group type = F-43m
energy of formation = 16 kJ/mol of atoms

A geometry-optimized AgPtAu structure. Source: Alexandria, functional GGA-PBEsol. Values from VASP.

```
&SYSTEM
  ibrav = 0, nat = 6, ntyp = 3
/
ATOMIC_SPECIES
Ag 107.87 Ag.upf
Pt 195.08 Pt.upf
Au 196.97 Au.upf
CELL_PARAMETERS angstrom
2.7950 0.0000 0.0000
0.0000 4.0555 0.0000
0.0000 0.0000 8.4801
ATOMIC_POSITIONS angstrom
Ag 0.0000 0.0000 0.0000
Ag 1.3975 2.0278 4.2400
Pt 0.0000 0.0000 2.8362
Pt 1.3975 2.0278 7.0762
Au 0.0000 0.0000 5.6760
Au 1.3975 2.0278 1.4360
```

Properties
theoretical density = 17272 kg/m³
M_tot = 0.000 μB per cell
energy relative to the lowest polymorph listed for this composition = 46 meV/atom
space-group type = Imm2
energy of formation = 2 kJ/mol of atoms